Entry 1:
# PBE Cu2BAuF, optimized geometry
data_Cu2BAuF
_chemical_formula_sum 'Cu2 B1 Au1 F1'
_symmetry_space_group_name_H-M 'P 4/m m m'
_symmetry_Int_Tables_number 123
_symmetry_space_group_name_Hall '-P 4 2'
_cell_length_a 4.056
_cell_length_b 4.056
_cell_length_c 4.128
_cell_angle_alpha 90.00
_cell_angle_beta 90.00
_cell_angle_gamma 90.00
loop_
_atom_site_label
_atom_site_fract_x
_atom_site_fract_y
_atom_site_fract_z
Cu1 0.000 0.500 0.000
B1 0.000 0.000 0.000
Au1 0.000 0.000 0.500
F1 0.500 0.500 0.500
# spin magnetization	0.00	μB/f.u.
# E_form (uncorrected)	0.131	eV/atom
# mass density	8.7	g/cm³



Entry 2:
# PBE Cu2GeBAu, optimized geometry
data_Cu2GeBAu
_chemical_formula_sum 'Cu2 Ge1 B1 Au1'
_symmetry_space_group_name_H-M 'P 4/m m m'
_symmetry_Int_Tables_number 123
_symmetry_space_group_name_Hall '-P 4 2'
_cell_length_a 4.134
_cell_length_b 4.134
_cell_length_c 4.123
_cell_angle_alpha 90.00
_cell_angle_beta 90.00
_cell_angle_gamma 90.00
loop_
_atom_site_label
_atom_site_fract_x
_atom_site_fract_y
_atom_site_fract_z
Cu1 0.000 0.500 0.000
Ge1 0.000 0.000 0.500
B1 0.000 0.000 0.000
Au1 0.500 0.500 0.500
# spin magnetization	0.00	μB/f.u.
# energy of formation	1.9	eV/f.u.
# mass density	9.6	g/cm³